Computed, not measured: Ba2RhAu after structural relaxation at the PBEsol level of DFT.

Unit cell a=3.7620 b=3.7620 c=7.8399 alpha=90.00 beta=90.00 gamma=90.00
With the nearest neighbours (Å) after each atom.
Fractional positions:
Au1 0.5000 0.5000 0.5000  8 Ba 3.39, 4 Au 3.76
Rh1 0.5000 0.5000 0.0000  8 Ba 3.23
Ba1 0.0000 0.0000 0.7673  4 Rh 3.23, 4 Au 3.39
Ba2 0.0000 0.0000 0.2327  4 Rh 3.23, 4 Au 3.39

Values from the calculation:
Space-group type: P4/mmm (123)
Formation energy in eV per atom: -0.259
Calculated volume in Å³/cell: 110.95
DOS at the Fermi energy in states/eV per cell: 1.69
VASP energy in eV/cell: -17.396